A plane-wave DFT calculation with PBE+U was carried out for a relaxed structure of MnSn2F.

Cell and atoms, written as CIF:
```
data_MnSn2F
_chemical_formula_sum 'Mn4 Sn8 F4'
_space_group_name_H-M_alt 'F m -3 m'
_space_group_IT_number 225
_space_group_name_Hall '-F 4 2 3'
_cell_length_a 6.849
_cell_length_b 6.849
_cell_length_c 6.849
_cell_angle_alpha 90.00
_cell_angle_beta 90.00
_cell_angle_gamma 90.00
loop_
_atom_site_label
_atom_site_fract_x
_atom_site_fract_y
_atom_site_fract_z
Mn1 0.000 0.000 0.000
Sn1 0.250 0.250 0.250
F1 0.000 0.000 0.500
```

Energy relative to the lowest polymorph listed for this composition: 0.00 eV/f.u.

A plane-wave DFT calculation with PBE+U was carried out for a relaxed structure of MnSn2F.

Cell and atoms, written as CIF:
```
data_MnSn2F
_chemical_formula_sum 'Mn4 Sn8 F4'
_space_group_name_H-M_alt 'I -4 2 d'
_space_group_IT_number 122
_space_group_name_Hall 'I -4 2bw'
_cell_length_a 5.039
_cell_length_b 5.039
_cell_length_c 16.172
_cell_angle_alpha 90.00
_cell_angle_beta 90.00
_cell_angle_gamma 90.00
loop_
_atom_site_label
_atom_site_fract_x
_atom_site_fract_y
_atom_site_fract_z
Mn1 0.000 0.000 0.000
Sn1 0.162 0.250 0.625
F1 0.000 0.000 0.500
```

Energy relative to the lowest polymorph listed for this composition: 0.33 eV/f.u.

A plane-wave DFT calculation with PBE+U was carried out for a relaxed structure of Mn2SnF8.

Cell and atoms, written as CIF:
```
data_Mn2SnF8
_chemical_formula_sum 'Mn4 Sn2 F16'
_space_group_name_H-M_alt 'C 1 2/m 1'
_space_group_IT_number 12
_cell_length_a 9.830
_cell_length_b 7.178
_cell_length_c 4.405
_cell_angle_alpha 90.00
_cell_angle_beta 92.35
_cell_angle_gamma 90.00
loop_
_space_group_symop_operation_xyz
'x,y,z'
'-x,-y,-z'
'-x,y,-z'
'x,-y,z'
'x+1/2,y+1/2,z'
'-x+1/2,-y+1/2,-z'
'-x+1/2,y+1/2,-z'
'x+1/2,-y+1/2,z'
loop_
_atom_site_label
_atom_site_fract_x
_atom_site_fract_y
_atom_site_fract_z
Mn1 0.124 0.000 0.263
Sn1 0.000 0.500 0.000
F1 0.095 0.000 0.754
F2 0.097 0.299 0.238
F3 0.164 0.500 0.742
```

Raw total energy: -5.648 eV/atom

A plane-wave DFT calculation with PBE+U was carried out for a relaxed structure of MnSnF2.

Cell and atoms, written as CIF:
```
data_MnSnF2
_chemical_formula_sum 'Mn4 Sn4 F8'
_space_group_name_H-M_alt 'I -4 2 d'
_space_group_IT_number 122
_space_group_name_Hall 'I -4 2bw'
_cell_length_a 5.924
_cell_length_b 5.924
_cell_length_c 9.710
_cell_angle_alpha 90.00
_cell_angle_beta 90.00
_cell_angle_gamma 90.00
loop_
_atom_site_label
_atom_site_fract_x
_atom_site_fract_y
_atom_site_fract_z
Mn1 0.000 0.000 0.000
Sn1 0.000 0.000 0.500
F1 0.105 0.250 0.125
```

Energy relative to the lowest polymorph listed for this composition: 1.20 eV/f.u.

A plane-wave DFT calculation with PBE+U was carried out for a relaxed structure of Mn3SnF.

Cell and atoms, written as CIF:
```
data_Mn3SnF
_chemical_formula_sum 'Mn3 Sn1 F1'
_space_group_name_H-M_alt 'P m -3 m'
_space_group_IT_number 221
_space_group_name_Hall '-P 4 2 3'
_cell_length_a 4.593
_cell_length_b 4.593
_cell_length_c 4.593
_cell_angle_alpha 90.00
_cell_angle_beta 90.00
_cell_angle_gamma 90.00
loop_
_atom_site_label
_atom_site_fract_x
_atom_site_fract_y
_atom_site_fract_z
Mn1 0.000 0.000 0.500
Sn1 0.500 0.500 0.500
F1 0.000 0.000 0.000
```

Energy relative to the lowest polymorph listed for this composition: 0.00 eV/f.u.

A plane-wave DFT calculation with PBE+U was carried out for a relaxed structure of Mn3SnF.

Cell and atoms, written as CIF:
```
data_Mn3SnF
_chemical_formula_sum 'Mn3 Sn1 F1'
_space_group_name_H-M_alt 'P m -3 m'
_space_group_IT_number 221
_space_group_name_Hall '-P 4 2 3'
_cell_length_a 5.369
_cell_length_b 5.369
_cell_length_c 5.369
_cell_angle_alpha 90.00
_cell_angle_beta 90.00
_cell_angle_gamma 90.00
loop_
_atom_site_label
_atom_site_fract_x
_atom_site_fract_y
_atom_site_fract_z
Mn1 0.000 0.000 0.500
Sn1 0.000 0.000 0.000
F1 0.500 0.500 0.500
```

Energy relative to the lowest polymorph listed for this composition: 3.07 eV/f.u.

A plane-wave DFT calculation with PBE+U was carried out for a relaxed structure of Mn2SnF6.

Cell and atoms, written as CIF:
```
data_Mn2SnF6
_chemical_formula_sum 'Mn4 Sn2 F12'
_space_group_name_H-M_alt 'C 1 2/m 1'
_space_group_IT_number 12
_cell_length_a 10.791
_cell_length_b 4.119
_cell_length_c 7.508
_cell_angle_alpha 90.00
_cell_angle_beta 117.98
_cell_angle_gamma 90.00
loop_
_space_group_symop_operation_xyz
'x,y,z'
'-x,-y,-z'
'-x,y,-z'
'x,-y,z'
'x+1/2,y+1/2,z'
'-x+1/2,-y+1/2,-z'
'-x+1/2,y+1/2,-z'
'x+1/2,-y+1/2,z'
loop_
_atom_site_label
_atom_site_fract_x
_atom_site_fract_y
_atom_site_fract_z
Mn1 0.175 0.000 0.105
Sn1 0.000 0.000 0.500
F1 0.014 0.000 0.189
F2 0.148 0.500 0.609
F3 0.214 0.500 0.086
```

Energy relative to the lowest polymorph listed for this composition: 0.06 eV/f.u.

A plane-wave DFT calculation with PBE+U was carried out for a relaxed structure of MnSnF2.

Cell and atoms, written as CIF:
```
data_MnSnF2
_chemical_formula_sum 'Mn3 Sn3 F6'
_space_group_name_H-M_alt 'R -3 m'
_space_group_IT_number 166
_space_group_name_Hall '-R 3 2"'
_cell_length_a 3.3028
_cell_length_b 3.3028
_cell_length_c 26.1643
_cell_angle_alpha 90.00
_cell_angle_beta 90.00
_cell_angle_gamma 120.00
loop_
_atom_site_label
_atom_site_fract_x
_atom_site_fract_y
_atom_site_fract_z
Mn1 0.0000 0.0000 0.0000
Sn1 0.0000 0.0000 0.5000
F1 0.0000 0.0000 0.3714
```

Energy relative to the lowest polymorph listed for this composition: 0.00 eV/f.u.

A plane-wave DFT calculation with PBE+U was carried out for a relaxed structure of Mn6Sn4F19.

Cell and atoms, written as CIF:
```
data_Mn6Sn4F19
_chemical_formula_sum 'Mn12 Sn8 F38'
_space_group_name_H-M_alt 'I 2 3'
_space_group_IT_number 197
_space_group_name_Hall 'I 2 2 3'
_cell_length_a 9.800
_cell_length_b 9.800
_cell_length_c 9.800
_cell_angle_alpha 90.00
_cell_angle_beta 90.00
_cell_angle_gamma 90.00
loop_
_atom_site_label
_atom_site_fract_x
_atom_site_fract_y
_atom_site_fract_z
Mn1 0.000 0.333 0.500
Sn1 0.152 0.152 0.848
F1 0.000 0.000 0.000
F2 0.000 0.000 0.356
F3 0.027 0.317 0.716
```

Raw total energy: -5.694 eV/atom

A plane-wave DFT calculation with PBE+U was carried out for a relaxed structure of MnSnF2.

Cell and atoms, written as CIF:
```
data_MnSnF2
_chemical_formula_sum 'Mn4 Sn4 F8'
_space_group_name_H-M_alt 'F m -3 m'
_space_group_IT_number 225
_space_group_name_Hall '-F 4 2 3'
_cell_length_a 6.454
_cell_length_b 6.454
_cell_length_c 6.454
_cell_angle_alpha 90.00
_cell_angle_beta 90.00
_cell_angle_gamma 90.00
loop_
_atom_site_label
_atom_site_fract_x
_atom_site_fract_y
_atom_site_fract_z
Mn1 0.000 0.000 0.000
Sn1 0.000 0.000 0.500
F1 0.250 0.250 0.250
```

Energy relative to the lowest polymorph listed for this composition: 2.98 eV/f.u.

A plane-wave DFT calculation with PBE+U was carried out for a relaxed structure of SrMnSnF2.

Cell and atoms, written as CIF:
```
data_SrMnSnF2
_chemical_formula_sum 'Sr1 Mn1 Sn1 F2'
_space_group_name_H-M_alt 'P 4/m m m'
_space_group_IT_number 123
_space_group_name_Hall '-P 4 2'
_cell_length_a 4.456
_cell_length_b 4.456
_cell_length_c 5.667
_cell_angle_alpha 90.00
_cell_angle_beta 90.00
_cell_angle_gamma 90.00
loop_
_atom_site_label
_atom_site_fract_x
_atom_site_fract_y
_atom_site_fract_z
Sr1 0.000 0.000 0.000
Mn1 0.500 0.500 0.500
Sn1 0.500 0.500 0.000
F1 0.000 0.500 0.500
```

Raw total energy: -4.811 eV/atom

A plane-wave DFT calculation with PBE+U was carried out for a relaxed structure of MnTl2SnF6.

Cell and atoms, written as CIF:
```
data_MnTl2SnF6
_chemical_formula_sum 'Mn1 Tl2 Sn1 F6'
_space_group_name_H-M_alt 'P -1'
_space_group_IT_number 2
_cell_length_a 6.304
_cell_length_b 6.309
_cell_length_c 6.313
_cell_angle_alpha 61.25
_cell_angle_beta 61.16
_cell_angle_gamma 61.23
loop_
_space_group_symop_operation_xyz
'x,y,z'
'-x,-y,-z'
loop_
_atom_site_label
_atom_site_fract_x
_atom_site_fract_y
_atom_site_fract_z
Mn1 0.000 0.000 0.000
Tl1 0.247 0.245 0.245
Sn1 0.500 0.500 0.500
F1 0.180 0.292 0.775
F2 0.231 0.820 0.708
F3 0.290 0.774 0.182
```

Raw total energy: -4.933 eV/atom

A plane-wave DFT calculation with PBE+U was carried out for a relaxed structure of MnTlSnF6.

Cell and atoms, written as CIF:
```
data_MnTlSnF6
_chemical_formula_sum 'Mn1 Tl1 Sn1 F6'
_space_group_name_H-M_alt 'P 1'
_space_group_IT_number 1
_cell_length_a 5.275
_cell_length_b 5.849
_cell_length_c 5.908
_cell_angle_alpha 64.42
_cell_angle_beta 89.94
_cell_angle_gamma 89.89
loop_
_space_group_symop_operation_xyz
'x,y,z'
loop_
_atom_site_label
_atom_site_fract_x
_atom_site_fract_y
_atom_site_fract_z
Mn1 0.000 0.000 0.000
Tl1 0.432 0.671 0.667
Sn1 0.917 0.318 0.348
F1 0.189 0.232 0.095
F2 0.197 0.126 0.633
F3 0.215 0.725 0.185
F4 0.786 0.272 0.806
F5 0.806 0.779 0.918
F6 0.806 0.956 0.341
```

Raw total energy: -5.053 eV/atom

A plane-wave DFT calculation with PBE+U was carried out for a relaxed structure of MnZnSnF6.

Cell and atoms, written as CIF:
```
data_MnZnSnF6
_chemical_formula_sum 'Mn2 Zn2 Sn2 F12'
_space_group_name_H-M_alt 'P -3 1 c'
_space_group_IT_number 163
_space_group_name_Hall '-P 3 2c'
_cell_length_a 5.5432
_cell_length_b 5.5432
_cell_length_c 10.2353
_cell_angle_alpha 90.00
_cell_angle_beta 90.00
_cell_angle_gamma 120.00
loop_
_atom_site_label
_atom_site_fract_x
_atom_site_fract_y
_atom_site_fract_z
Mn1 0.3333 0.6667 0.2500
Zn1 0.3333 0.6667 0.7500
Sn1 0.0000 0.0000 0.0000
F1 0.0099 0.3619 0.6400
```

Raw total energy: -5.076 eV/atom

A plane-wave DFT calculation with PBE+U was carried out for a relaxed structure of SrMnF2.

Cell and atoms, written as CIF:
```
data_SrMnF2
_chemical_formula_sum 'Sr4 Mn4 F8'
_space_group_name_H-M_alt 'F m -3 m'
_space_group_IT_number 225
_space_group_name_Hall '-F 4 2 3'
_cell_length_a 6.721
_cell_length_b 6.721
_cell_length_c 6.721
_cell_angle_alpha 90.00
_cell_angle_beta 90.00
_cell_angle_gamma 90.00
loop_
_atom_site_label
_atom_site_fract_x
_atom_site_fract_y
_atom_site_fract_z
Sr1 0.000 0.000 0.000
Mn1 0.000 0.000 0.500
F1 0.250 0.250 0.250
```

Energy relative to the lowest polymorph listed for this composition: 2.25 eV/f.u.

A plane-wave DFT calculation with PBE+U was carried out for a relaxed structure of Sr3MnF.

Cell and atoms, written as CIF:
```
data_Sr3MnF
_chemical_formula_sum 'Sr3 Mn1 F1'
_space_group_name_H-M_alt 'P m -3 m'
_space_group_IT_number 221
_space_group_name_Hall '-P 4 2 3'
_cell_length_a 5.453
_cell_length_b 5.453
_cell_length_c 5.453
_cell_angle_alpha 90.00
_cell_angle_beta 90.00
_cell_angle_gamma 90.00
loop_
_atom_site_label
_atom_site_fract_x
_atom_site_fract_y
_atom_site_fract_z
Sr1 0.000 0.000 0.500
Mn1 0.500 0.500 0.500
F1 0.000 0.000 0.000
```

Energy relative to the lowest polymorph listed for this composition: 0.00 eV/f.u.

A plane-wave DFT calculation with PBE+U was carried out for a relaxed structure of Sr2MnF2.

Cell and atoms, written as CIF:
```
data_Sr2MnF2
_chemical_formula_sum 'Sr4 Mn2 F4'
_space_group_name_H-M_alt 'P 4/m b m'
_space_group_IT_number 127
_space_group_name_Hall '-P 4 2ab'
_cell_length_a 8.966
_cell_length_b 8.966
_cell_length_c 3.359
_cell_angle_alpha 90.00
_cell_angle_beta 90.00
_cell_angle_gamma 90.00
loop_
_atom_site_label
_atom_site_fract_x
_atom_site_fract_y
_atom_site_fract_z
Sr1 0.130 0.370 0.000
Mn1 0.000 0.000 0.000
F1 0.094 0.594 0.500
```

Energy relative to the lowest polymorph listed for this composition: 2.78 eV/f.u.

A plane-wave DFT calculation with PBE+U was carried out for a relaxed structure of SrMnF2.

Cell and atoms, written as CIF:
```
data_SrMnF2
_chemical_formula_sum 'Sr3 Mn3 F6'
_space_group_name_H-M_alt 'R -3 m'
_space_group_IT_number 166
_space_group_name_Hall '-R 3 2"'
_cell_length_a 3.9648
_cell_length_b 3.9648
_cell_length_c 19.2853
_cell_angle_alpha 90.00
_cell_angle_beta 90.00
_cell_angle_gamma 120.00
loop_
_atom_site_label
_atom_site_fract_x
_atom_site_fract_y
_atom_site_fract_z
Sr1 0.0000 0.0000 0.0000
Mn1 0.0000 0.0000 0.5000
F1 0.0000 0.0000 0.3802
```

Energy relative to the lowest polymorph listed for this composition: 0.00 eV/f.u.

A plane-wave DFT calculation with PBE+U was carried out for a relaxed structure of Sr2MnF2.

Cell and atoms, written as CIF:
```
data_Sr2MnF2
_chemical_formula_sum 'Sr4 Mn2 F4'
_space_group_name_H-M_alt 'I 4/m m m'
_space_group_IT_number 139
_space_group_name_Hall '-I 4 2'
_cell_length_a 4.080
_cell_length_b 4.080
_cell_length_c 15.646
_cell_angle_alpha 90.00
_cell_angle_beta 90.00
_cell_angle_gamma 90.00
loop_
_atom_site_label
_atom_site_fract_x
_atom_site_fract_y
_atom_site_fract_z
Sr1 0.000 0.000 0.157
Mn1 0.000 0.000 0.500
F1 0.000 0.500 0.250
```

Energy relative to the lowest polymorph listed for this composition: 0.00 eV/f.u.

A plane-wave DFT calculation with PBE+U was carried out for a relaxed structure of SrMnF2.

Cell and atoms, written as CIF:
```
data_SrMnF2
_chemical_formula_sum 'Sr4 Mn4 F8'
_space_group_name_H-M_alt 'I -4 2 d'
_space_group_IT_number 122
_space_group_name_Hall 'I -4 2bw'
_cell_length_a 6.161
_cell_length_b 6.161
_cell_length_c 12.084
_cell_angle_alpha 90.00
_cell_angle_beta 90.00
_cell_angle_gamma 90.00
loop_
_atom_site_label
_atom_site_fract_x
_atom_site_fract_y
_atom_site_fract_z
Sr1 0.000 0.000 0.000
Mn1 0.000 0.000 0.500
F1 0.141 0.250 0.125
```

Energy relative to the lowest polymorph listed for this composition: 1.05 eV/f.u.

A plane-wave DFT calculation with PBE+U was carried out for a relaxed structure of Sr2MnF6.

Cell and atoms, written as CIF:
```
data_Sr2MnF6
_chemical_formula_sum 'Sr4 Mn2 F12'
_space_group_name_H-M_alt 'P 42/m n m'
_space_group_IT_number 136
_space_group_name_Hall '-P 4n 2n'
_cell_length_a 5.369
_cell_length_b 5.369
_cell_length_c 11.056
_cell_angle_alpha 90.00
_cell_angle_beta 90.00
_cell_angle_gamma 90.00
loop_
_atom_site_label
_atom_site_fract_x
_atom_site_fract_y
_atom_site_fract_z
Sr1 0.000 0.000 0.166
Mn1 0.000 0.000 0.500
F1 0.183 0.183 0.348
F2 0.215 0.215 0.000
```

Raw total energy: -5.916 eV/atom

A plane-wave DFT calculation with PBE+U was carried out for a relaxed structure of SrMn3Tl4F12.

Cell and atoms, written as CIF:
```
data_SrMn3Tl4F12
_chemical_formula_sum 'Sr2 Mn6 Tl8 F24'
_space_group_name_H-M_alt 'I m -3 m'
_space_group_IT_number 229
_space_group_name_Hall '-I 4 2 3'
_cell_length_a 8.854
_cell_length_b 8.854
_cell_length_c 8.854
_cell_angle_alpha 90.00
_cell_angle_beta 90.00
_cell_angle_gamma 90.00
loop_
_atom_site_label
_atom_site_fract_x
_atom_site_fract_y
_atom_site_fract_z
Sr1 0.000 0.000 0.000
Mn1 0.000 0.000 0.500
Tl1 0.250 0.250 0.250
F1 0.000 0.000 0.266
F2 0.000 0.250 0.500
```

Raw total energy: -5.300 eV/atom

A plane-wave DFT calculation with PBE+U was carried out for a relaxed structure of SrMn2Tl3F9.

Cell and atoms, written as CIF:
```
data_SrMn2Tl3F9
_chemical_formula_sum 'Sr1 Mn2 Tl3 F9'
_space_group_name_H-M_alt 'P -3 m 1'
_space_group_IT_number 164
_space_group_name_Hall '-P 3 2"'
_cell_length_a 6.2448
_cell_length_b 6.2448
_cell_length_c 7.9377
_cell_angle_alpha 90.00
_cell_angle_beta 90.00
_cell_angle_gamma 120.00
loop_
_atom_site_label
_atom_site_fract_x
_atom_site_fract_y
_atom_site_fract_z
Sr1 0.0000 0.0000 0.0000
Mn1 0.3333 0.6667 0.6609
Tl1 0.0000 0.0000 0.5000
Tl2 0.3333 0.6667 0.2128
F1 0.0000 0.5000 0.5000
F2 0.1715 0.3429 0.8077
```

Raw total energy: -5.268 eV/atom